Record 1
8
Lattice="5.3383 0.0000 0.0000 -0.9983 5.7129 0.0000 -1.5060 -3.0671 5.4296" Properties=species:S:1:pos:R:3 comment="CuNiS6 | the Alexandria database | PBE | optimized geometry" dos_at_fermi_per_ev_cell=2.14 crystal_system=triclinic final_energy_ev_per_atom=-4.32 e_form_raw_ev_per_atom=0.014 pbc="T T T"
Cu 0.0000 0.0000 0.0000
Ni -1.2521 1.3229 2.7148
S -1.4470 0.5713 5.1412
S -1.0763 3.2828 3.7287
S 0.6022 2.1523 3.6001
S 2.2318 0.4936 1.8295
S 3.9103 -0.6369 1.7009
S 4.2810 2.0746 0.2885

Record 2
5
Lattice="4.1833 0.0000 0.0000 0.0000 4.1833 0.0000 0.0000 0.0000 6.7915" Properties=species:S:1:pos:R:3 comment="CsFeSN2 | the Alexandria database | PBE | optimized geometry" dos_at_fermi_per_ev_cell=5.89 crystal_system=tetragonal final_energy_ev_per_atom=-3.35 e_form_raw_ev_per_atom=2.671 pbc="T T T"
Cs 0.0000 0.0000 0.0000
Fe 2.0917 2.0917 3.3958
S 0.0000 0.0000 3.3958
N 0.0000 2.0917 0.0000
N 2.0917 0.0000 0.0000

Record 3
4
Lattice="3.2780 0.0000 0.0000 0.0000 3.2780 0.0000 0.0000 0.0000 8.4774" Properties=species:S:1:pos:R:3 comment="CeHo2H | the Alexandria database | PBE | optimized geometry" dos_at_fermi_per_ev_cell=7.09 crystal_system=tetragonal final_energy_ev_per_atom=-4.46 polymorph_energy_mev_per_atom=163 pbc="T T T"
Ce 0.0000 0.0000 0.0000
Ho 1.6390 1.6390 2.6243
Ho 1.6390 1.6390 5.8531
H 0.0000 0.0000 4.2387

Record 4
4
Lattice="3.6591 0.0000 0.0000 0.0000 3.6591 0.0000 0.0000 0.0000 6.7677" Properties=species:S:1:pos:R:3 comment="Sc2SeBr | the Alexandria database | PBE | optimized geometry" dos_at_fermi_per_ev_cell=1.11 crystal_system=tetragonal final_energy_ev_per_atom=-5.69 polymorph_energy_mev_per_atom=0 e_form_raw_ev_per_atom=-1.237 pbc="T T T"
Sc 0.0000 0.0000 0.0000
Sc 1.8295 1.8295 1.8731
Se 0.0000 0.0000 2.7571
Br 1.8295 1.8295 5.7164

Record 5
5
Lattice="4.6518 0.0000 0.0000 0.0000 4.6518 0.0000 0.0000 0.0000 4.7987" Properties=species:S:1:pos:R:3 comment="LaCdGe2N | the Alexandria database | PBE | optimized geometry" dos_at_fermi_per_ev_cell=2.26 crystal_system=tetragonal final_energy_ev_per_atom=-4.78 e_form_raw_ev_per_atom=-0.101 pbc="T T T"
La 0.0000 0.0000 0.0000
Cd 2.3259 2.3259 0.0000
Ge 0.0000 2.3259 2.3993
Ge 2.3259 0.0000 2.3993
N 0.0000 0.0000 2.3993

Record 6
3
Lattice="-1.9526 1.9526 4.9213 1.9526 -1.9526 4.9213 1.9526 1.9526 -4.9213" Properties=species:S:1:pos:R:3 comment="YTlAg | the Alexandria database | PBE | optimized geometry" delta_e_f_ev_per_atom=-0.1611 dos_at_fermi_per_ev_cell=2.10 crystal_system=tetragonal final_energy_ev_per_atom=-4.05 pbc="T T T"
Y 0.0000 0.0000 0.0000
Tl 0.0000 0.0000 6.6834
Ag 0.0000 0.0000 3.3445

Record 7
8
Lattice="4.8421 0.0000 0.0000 -2.4210 4.1934 0.0000 0.0000 0.0000 10.3996" Properties=species:S:1:pos:R:3 comment="SbSe | the Alexandria database | PBE | optimized geometry" dos_at_fermi_per_ev_cell=4.00 crystal_system=hexagonal final_energy_ev_per_atom=-3.53 e_form_raw_ev_per_atom=0.270 pbc="T T T"
Sb 0.0000 2.7956 0.5324
Sb 0.0000 2.7956 4.6674
Sb 2.4210 1.3978 5.7322
Sb 2.4210 1.3978 9.8672
Se 0.0000 0.0000 2.5999
Se 0.0000 0.0000 7.7997
Se 0.0000 2.7956 7.7997
Se 2.4210 1.3978 2.5999

Record 8
4
Lattice="3.0673 0.0000 0.0000 0.0000 3.4708 0.0000 0.0000 0.0000 6.0975" Properties=species:S:1:pos:R:3 comment="ScCdFe2 | the Alexandria database | PBE | optimized geometry" delta_e_f_ev_per_atom=0.1908 dos_at_fermi_per_ev_cell=3.91 crystal_system=orthorhombic final_energy_ev_per_atom=-5.85 pbc="T T T"
Sc 0.0000 0.0000 0.0000
Cd 0.0000 0.0000 3.0488
Fe 1.5336 1.7354 1.4922
Fe 1.5336 1.7354 4.6054

Record 9
10
Lattice="7.7504 -2.5752 0.0000 7.7504 2.5752 0.0000 -1.6562 0.0000 6.2542" Properties=species:S:1:pos:R:3 comment="Er4TlCd5 | the Alexandria database | PBE | optimized geometry" delta_e_f_ev_per_atom=-0.2910 dos_at_fermi_per_ev_cell=5.00 crystal_system=monoclinic final_energy_ev_per_atom=-2.81 pbc="T T T"
Er 0.8851 0.0000 2.3714
Er 4.4424 0.0000 1.1660
Er 9.4022 0.0000 5.0882
Er 12.9595 0.0000 3.8827
Tl 6.9223 0.0000 3.1271
Cd 0.0545 0.0000 5.6569
Cd 3.4120 0.0000 4.2842
Cd 7.7504 0.0000 0.0000
Cd 10.4326 0.0000 1.9699
Cd 13.7901 0.0000 0.5973

Record 10
5
Lattice="4.3621 0.0000 0.0000 0.0000 4.3621 0.0000 0.0000 0.0000 4.5840" Properties=species:S:1:pos:R:3 comment="P2BrClO | the Alexandria database | PBE | optimized geometry" dos_at_fermi_per_ev_cell=3.75 crystal_system=tetragonal final_energy_ev_per_atom=-3.00 polymorph_energy_mev_per_atom=0 e_form_raw_ev_per_atom=0.862 pbc="T T T"
P 0.0000 2.1810 0.0000
P 2.1810 0.0000 0.0000
Br 0.0000 0.0000 2.2920
Cl 2.1810 2.1810 2.2920
O 2.1810 2.1810 0.0000

Record 11
13
Lattice="8.1907 0.0000 0.0000 0.0000 2.5257 0.0000 -3.9917 0.0000 7.3820" Properties=species:S:1:pos:R:3 comment="Be3Zn2Cu8 | the Alexandria database | PBE | optimized geometry" delta_e_f_ev_per_atom=0.0426 dos_at_fermi_per_ev_cell=3.89 crystal_system=monoclinic final_energy_ev_per_atom=-3.53 pbc="T T T"
Be 0.0000 0.0000 0.0000
Be -2.5467 1.2629 5.7698
Be 6.7456 1.2629 1.6122
Zn 1.2863 0.0000 4.7005
Zn 2.9126 0.0000 2.6814
Cu -0.8546 1.2629 4.0685
Cu 0.4111 0.0000 2.2441
Cu 1.9870 1.2629 0.6346
Cu -0.5988 0.0000 6.3288
Cu 4.7977 0.0000 1.0532
Cu 2.2119 1.2629 6.7474
Cu 3.7878 0.0000 5.1379
Cu 5.0536 1.2629 3.3135

Record 12
10
Lattice="7.8781 -2.3280 0.0000 7.8781 2.3280 0.0000 -2.4506 0.0000 6.9870" Properties=species:S:1:pos:R:3 comment="RbSiAu3 | the Alexandria database | PBE | optimized geometry" dos_at_fermi_per_ev_cell=1.66 crystal_system=monoclinic final_energy_ev_per_atom=-3.32 polymorph_energy_mev_per_atom=198 e_form_raw_ev_per_atom=-0.077 pbc="T T T"
Rb 1.2781 0.0000 0.9580
Rb 12.0274 0.0000 6.0289
Si 4.7375 0.0000 1.5936
Si 8.5680 0.0000 5.3934
Au 1.4834 0.0000 5.9652
Au 3.5674 0.0000 3.7229
Au 7.0723 0.0000 2.1496
Au 6.2333 0.0000 4.8374
Au 9.7381 0.0000 3.2640
Au 11.8221 0.0000 1.0217

Question: What is the formula in the tenth record?
Answer: P2BrClO